[1]
Ba2GaIr: optimized geometry, PBE.

Cell: 5.3263 5.3263 5.3263 Å, 60.00 60.00 60.00°
Closest atoms and distances in Å follow each position.
Fractional coordinates of all 4 atoms:
Ba: 0.7500 0.7500 0.7500  4 Ba 3.26, 4 Ga 3.26
Ba: 0.0000 0.0000 0.0000  4 Ba 3.26, 4 Ir 3.26
Ir: 0.2500 0.2500 0.2500  4 Ba 3.26, 4 Ga 3.26
Ga: 0.5000 0.5000 0.5000  4 Ba 3.26, 4 Ir 3.26

The total moment comes out at 0.00 μB per cell. As for the mass density: 8339 kg/m³. The total energy is -3.764 eV/atom.



[2]
BaGa3Ir: optimized geometry, PBE.

Cell: 6.8960 6.8960 6.8960 Å, 124.88 89.60 115.79°
Closest atoms and distances in Å follow each position.
Fractional coordinates of all 10 atoms:
Ba: 0.8396 0.5896 0.2500  12 Ga 3.42-3.75
Ba: 0.1604 0.4104 0.7500  12 Ga 3.42-3.75
Ga: 0.7009 0.5000 0.7009  2 Ir 2.48
Ga: 0.3280 0.0780 0.2500  2 Ir 2.51
Ga: 0.6720 0.9220 0.7500  2 Ir 2.51
Ga: 0.2991 0.5000 0.2991  2 Ir 2.48
Ga: 0.7009 0.0000 0.2009  2 Ir 2.48
Ga: 0.2991 0.0000 0.7991  2 Ir 2.48
Ir: 0.0000 0.0000 0.0000  6 Ga 2.48-2.51
Ir: 0.5000 0.0000 0.5000  6 Ga 2.48-2.51

The total moment comes out at 0.00 μB per cell. As for the mass density: 7817 kg/m³. The total energy is -4.482 eV/atom.



[3]
BaGa2Ir2: optimized geometry, PBE.

Cell: 6.2037 6.2037 6.2037 Å, 138.29 138.29 60.46°
Closest atoms and distances in Å follow each position.
Fractional coordinates of all 5 atoms:
Ga: 0.6394 0.6394 0.0000  4 Ir 2.51
Ga: 0.3606 0.3606 0.0000  4 Ir 2.51
Ir: 0.7500 0.2500 0.5000  4 Ga 2.51
Ir: 0.2500 0.7500 0.5000  4 Ga 2.51
Ba: 0.0000 0.0000 0.0000  10 Ga 3.46-3.87, 8 Ir 3.47

The total moment comes out at 0.00 μB per cell. As for the mass density: 10497 kg/m³. The total energy is -5.617 eV/atom.